The following is a GGA-PBE calculation of a geometry-optimized Ac5NdEr structure, from the Alexandria database.

Cell: 8.660 8.660 8.660 Å, 138.17 111.58 83.51°
Sites, in units of the cell vectors:
Ac 0.000 0.000 0.000
Ac 0.249 0.749 0.500
Ac 0.315 0.500 0.815
Ac 0.685 0.500 0.185
Ac 0.751 0.251 0.500
Nd 0.500 0.000 0.500
Er 0.000 0.500 0.500

Summary:
final energy	-3.413	eV/atom
space-group type	Immm (71)
formation energy	82.4	kJ per mole of atoms

---

The following is a GGA-PBE calculation of a geometry-optimized AcNd2Er4 structure, from the Alexandria database.

Cell: 8.336 8.338 8.783 Å, 64.14 63.85 85.96°
Sites, in units of the cell vectors:
Ac 0.000 0.000 0.000
Ac 0.149 0.155 0.331
Nd 0.038 0.642 0.499
Nd 0.284 0.867 0.663
Nd 0.513 0.116 0.828
Nd 0.657 0.318 0.056
Er 0.128 0.439 0.900
Er 0.334 0.635 0.064
Er 0.378 0.356 0.491
Er 0.519 0.815 0.263
Er 0.575 0.579 0.663
Er 0.713 0.026 0.430
Er 0.797 0.778 0.838
Er 0.834 0.499 0.273

Summary:
final energy	-4.423	eV/atom
space-group type	P1 (1)
formation energy	12.9	kJ per mole of atoms

---

The following is a GGA-PBE calculation of a geometry-optimized AcNd4Er7 structure, from the Alexandria database.

Cell: 6.754 7.101 8.823 Å, 79.86 78.08 78.05°
Sites, in units of the cell vectors:
Ac 0.000 0.000 0.000
Nd 0.189 0.593 0.332
Nd 0.347 0.238 0.677
Nd 0.653 0.762 0.323
Nd 0.811 0.407 0.668
Er 0.000 0.500 0.000
Er 0.188 0.096 0.364
Er 0.321 0.737 0.669
Er 0.476 0.256 0.024
Er 0.524 0.744 0.976
Er 0.679 0.263 0.331
Er 0.812 0.904 0.636

Summary:
final energy	-4.516	eV/atom
space-group type	P-1 (2)
energy above the lowest structure with this stoichiometry	0.00	eV per formula unit
formation energy	7.5	kJ per mole of atoms

---

The following is a GGA-PBE calculation of a geometry-optimized AcNdEr14 structure, from the Alexandria database.

Cell: 11.264 7.236 7.236 Å, 60.14 90.00 90.00°
Sites, in units of the cell vectors:
Ac 0.000 0.000 0.000
Nd 0.000 0.500 0.500
Er 0.000 0.003 0.501
Er 0.000 0.501 0.003
Er 0.252 0.669 0.669
Er 0.255 0.170 0.170
Er 0.257 0.169 0.666
Er 0.257 0.666 0.169
Er 0.500 0.001 0.502
Er 0.500 0.002 0.002
Er 0.500 0.502 0.001
Er 0.500 0.502 0.502
Er 0.743 0.169 0.666
Er 0.743 0.666 0.169
Er 0.745 0.170 0.170
Er 0.748 0.669 0.669

Summary:
final energy	-4.529	eV/atom
space-group type	Amm2 (38)
formation energy	1.7	kJ per mole of atoms